1.
VASP calculation (PBE) on crystalline Ac2NdIn3 at its relaxed geometry.

```
Ac2NdIn3
1.0
-3.5118 -1.8681 -0.5452
1.8108 -3.5489 0.4958
-2.1615 0.5696 11.9715
Ac In Nd
2 3 1
Direct
0.5000 0.5000 0.8264
0.5000 0.5000 0.1736
0.0000 0.0000 0.0000
0.0000 0.0000 0.6487
0.0000 0.0000 0.3513
0.5000 0.5000 0.5000
```

Summary:
total magnetization: 0.00 μB/f.u.
space group: P4/mmm, No. 123
formation energy: -256 kJ/mol of formula units


2.
VASP calculation (PBE) on crystalline BSbOF2 at its relaxed geometry.

```
BSbOF2
1.0
4.7958 0.0000 0.0000
0.0000 4.7958 0.0000
0.0000 0.0000 2.7006
Sb B F O
1 1 2 1
Direct
0.5000 0.5000 0.5000
0.0000 0.0000 0.0000
0.0000 0.5000 0.0000
0.5000 0.0000 0.0000
0.0000 0.0000 0.5000
```

Summary:
total magnetization: 0.10 μB/f.u.
relative energy among the computed polymorphs: 0.000 eV per atom
space group: P4/mmm, No. 123
ΔE_f (raw): -1.084 eV/atom


no.,D(E_F) (states/eV/f.u.)
1,4.51
2,1.35